1.
The following is a PBE calculation of TlHg3B after structural relaxation, from the Alexandria database.

Geometry as POSCAR:
```
TlHg3B
1.0
-3.259 -0.209 -3.618
-0.742 -4.724 0.941
-3.547 1.180 3.127
Tl B Hg
1 1 3
Direct
0.500 0.500 0.500 Tl
0.000 0.000 0.000 B
0.000 0.500 0.000 Hg
0.000 0.000 0.500 Hg
0.500 0.000 0.000 Hg
```

Energy relative to the lowest polymorph listed for this composition   0.000 eV per formula unit
Space group   Pm-3m, No. 221
Total moment   0.0 Bohr magnetons per cell
Formation energy   0.47 eV/atom

---

2.
The following is a PBE calculation of Tl2HgBW after structural relaxation, from the Alexandria database.

Geometry as POSCAR:
```
Tl2HgBW
1.0
-4.235 -3.741 -0.440
1.655 -2.408 4.550
-3.344 3.428 3.031
Tl B Hg W
2 1 1 1
Direct
0.000 0.000 0.500 Tl
0.500 0.000 0.000 Tl
0.500 0.500 0.500 B
0.000 0.000 0.000 Hg
0.000 0.500 0.000 W
```

Space group   P4/mmm, No. 123
Total moment   3.3 Bohr magnetons per cell
Formation energy   2.36 eV/atom

---

3.
The following is a PBE calculation of Zr2TlHgB after structural relaxation, from the Alexandria database.

Geometry as POSCAR:
```
Zr2TlHgB
1.0
-4.153 3.283 -1.589
-1.323 0.156 3.783
3.158 4.442 0.922
Tl B Hg Zr
1 1 1 2
Direct
0.000 0.000 0.000 Tl
0.000 0.500 0.000 B
0.500 0.500 0.500 Hg
0.000 0.000 0.500 Zr
0.500 0.000 0.000 Zr
```

Space group   P4/mmm, No. 123
Total moment   0.0 Bohr magnetons per cell
Formation energy   1.27 eV/atom

---

4.
The following is a PBE calculation of VHgB2 after structural relaxation, from the Alexandria database.

Geometry as POSCAR:
```
VHgB2
1.0
-4.474 -3.505 1.678
2.894 -1.297 5.007
-2.086 -0.104 4.686
B Hg V
4 2 2
Direct
0.601 0.125 0.250 B
0.149 0.625 0.250 B
0.375 0.399 0.750 B
0.875 0.851 0.750 B
0.000 0.000 0.000 Hg
0.750 0.250 0.500 Hg
0.500 0.500 0.000 V
0.250 0.750 0.500 V
```

Space group   I-42d, No. 122
Total moment   0.0 Bohr magnetons per cell
Formation energy   1.03 eV/atom

---

5.
The following is a PBE calculation of V2HgB after structural relaxation, from the Alexandria database.

Geometry as POSCAR:
```
V2HgB
1.0
0.000 3.008 3.008
3.008 0.000 3.008
3.008 3.008 0.000
B Hg V
1 1 2
Direct
0.000 0.000 0.000 B
0.500 0.500 0.500 Hg
0.250 0.250 0.250 V
0.750 0.750 0.750 V
```

Energy relative to the lowest polymorph listed for this composition   2.331 eV per formula unit
Space group   Fm-3m, No. 225
Total moment   0.0 Bohr magnetons per cell
Formation energy   0.76 eV/atom

---

6.
The following is a PBE calculation of V2HgB after structural relaxation, from the Alexandria database.

Geometry as POSCAR:
```
V2HgB
1.0
6.559 0.000 0.000
0.000 6.559 0.000
3.280 3.280 2.628
B Hg V
2 2 4
Direct
0.500 0.500 0.000 B
0.250 0.750 0.500 B
0.000 0.000 0.000 Hg
0.750 0.250 0.500 Hg
0.563 0.125 0.250 V
0.187 0.625 0.250 V
0.375 0.437 0.750 V
0.875 0.813 0.750 V
```

Energy relative to the lowest polymorph listed for this composition   1.395 eV per formula unit
Space group   I-42d, No. 122
Total moment   0.0 Bohr magnetons per cell
Formation energy   0.52 eV/atom

---

7.
The following is a PBE calculation of V2HgB after structural relaxation, from the Alexandria database.

Geometry as POSCAR:
```
V2HgB
1.0
3.158 0.000 0.000
1.579 2.735 0.000
1.579 0.912 7.640
B Hg V
1 1 2
Direct
0.500 0.500 0.500 B
0.000 0.000 0.000 Hg
0.123 0.123 0.630 V
0.877 0.877 0.370 V
```

Energy relative to the lowest polymorph listed for this composition   0.000 eV per formula unit
Space group   R-3m, No. 166
Total moment   0.0 Bohr magnetons per cell
Formation energy   0.17 eV/atom

---

8.
The following is a PBE calculation of HgB3W after structural relaxation, from the Alexandria database.

Geometry as POSCAR:
```
HgB3W
1.0
4.183 0.000 0.000
0.000 4.183 0.000
0.000 0.000 4.183
B Hg W
3 1 1
Direct
0.000 0.500 0.000 B
0.000 0.000 0.500 B
0.500 0.000 0.000 B
0.000 0.000 0.000 Hg
0.500 0.500 0.500 W
```

Energy relative to the lowest polymorph listed for this composition   7.271 eV per formula unit
Space group   Pm-3m, No. 221
Total moment   0.0 Bohr magnetons per cell
Formation energy   2.89 eV/atom

---

9.
The following is a PBE calculation of Hg3BW after structural relaxation, from the Alexandria database.

Geometry as POSCAR:
```
Hg3BW
1.0
5.333 0.000 0.000
0.000 5.333 0.000
0.000 0.000 5.333
B Hg W
1 3 1
Direct
0.500 0.500 0.500 B
0.000 0.500 0.000 Hg
0.000 0.000 0.500 Hg
0.500 0.000 0.000 Hg
0.000 0.000 0.000 W
```

Energy relative to the lowest polymorph listed for this composition   2.122 eV per formula unit
Space group   Pm-3m, No. 221
Total moment   1.0 Bohr magnetons per cell
Formation energy   1.96 eV/atom

---

10.
The following is a PBE calculation of HgBW2 after structural relaxation, from the Alexandria database.

Geometry as POSCAR:
```
HgBW2
1.0
4.702 0.000 0.000
0.000 4.702 0.000
2.351 2.351 6.964
B Hg W
2 2 4
Direct
0.500 0.500 0.000 B
0.250 0.750 0.500 B
0.000 0.000 0.000 Hg
0.750 0.250 0.500 Hg
0.498 0.125 0.250 W
0.252 0.625 0.250 W
0.375 0.502 0.750 W
0.875 0.748 0.750 W
```

Energy relative to the lowest polymorph listed for this composition   0.301 eV per formula unit
Space group   I-42d, No. 122
Total moment   0.0 Bohr magnetons per cell
Formation energy   1.38 eV/atom

---

11.
The following is a PBE calculation of HgB3W after structural relaxation, from the Alexandria database.

Geometry as POSCAR:
```
HgB3W
1.0
-2.050 2.130 3.077
-3.458 -2.421 -0.628
1.432 -2.795 2.889
B Hg W
3 1 1
Direct
0.000 0.500 0.000 B
0.000 0.000 0.500 B
0.500 0.000 0.000 B
0.500 0.500 0.500 Hg
0.000 0.000 0.000 W
```

Energy relative to the lowest polymorph listed for this composition   0.000 eV per formula unit
Space group   Pm-3m, No. 221
Total moment   0.0 Bohr magnetons per cell
Formation energy   1.44 eV/atom

---

12.
The following is a PBE calculation of HgBW2 after structural relaxation, from the Alexandria database.

Geometry as POSCAR:
```
HgBW2
1.0
0.000 3.099 3.099
3.099 0.000 3.099
3.099 3.099 0.000
B Hg W
1 1 2
Direct
0.000 0.000 0.000 B
0.500 0.500 0.500 Hg
0.250 0.250 0.250 W
0.750 0.750 0.750 W
```

Energy relative to the lowest polymorph listed for this composition   0.000 eV per formula unit
Space group   Fm-3m, No. 225
Total moment   0.0 Bohr magnetons per cell
Formation energy   1.30 eV/atom

---

13.
The following is a PBE calculation of HgB2W after structural relaxation, from the Alexandria database.

Geometry as POSCAR:
```
HgB2W
1.0
-0.388 -2.298 -5.152
3.469 -4.169 1.598
-1.495 -5.315 -0.620
B Hg W
4 2 2
Direct
0.594 0.125 0.250 B
0.156 0.625 0.250 B
0.375 0.406 0.750 B
0.875 0.844 0.750 B
0.000 0.000 0.000 Hg
0.750 0.250 0.500 Hg
0.500 0.500 0.000 W
0.250 0.750 0.500 W
```

Space group   I-42d, No. 122
Total moment   0.0 Bohr magnetons per cell
Formation energy   1.12 eV/atom

---

14.
The following is a PBE calculation of Hg3BW after structural relaxation, from the Alexandria database.

Geometry as POSCAR:
```
Hg3BW
1.0
-0.541 0.293 4.571
2.270 -3.980 0.524
3.978 2.312 0.322
B Hg W
1 3 1
Direct
0.000 0.000 0.000 B
0.000 0.500 0.000 Hg
0.000 0.000 0.500 Hg
0.500 0.000 0.000 Hg
0.500 0.500 0.500 W
```

Energy relative to the lowest polymorph listed for this composition   0.000 eV per formula unit
Space group   Pm-3m, No. 221
Total moment   3.4 Bohr magnetons per cell
Formation energy   1.53 eV/atom

---

15.
The following is a PBE calculation of Hg2BW after structural relaxation, from the Alexandria database.

Geometry as POSCAR:
```
Hg2BW
1.0
-6.821 2.347 -2.640
-3.527 -4.850 4.801
-5.236 0.433 2.737
B Hg W
2 4 2
Direct
0.500 0.500 0.000 B
0.250 0.750 0.500 B
0.539 0.125 0.250 Hg
0.211 0.625 0.250 Hg
0.375 0.461 0.750 Hg
0.875 0.789 0.750 Hg
0.000 0.000 0.000 W
0.750 0.250 0.500 W
```

Space group   I-42d, No. 122
Total moment   0.0 Bohr magnetons per cell
Formation energy   1.25 eV/atom

---

16.
The following is a PBE calculation of Y2HgBW after structural relaxation, from the Alexandria database.

Geometry as POSCAR:
```
Y2HgBW
1.0
-0.821 -3.853 -3.550
4.581 1.147 -2.304
2.464 -3.455 3.180
Y B Hg W
2 1 1 1
Direct
0.000 0.000 0.500 Y
0.500 0.000 0.000 Y
0.500 0.500 0.500 B
0.000 0.500 0.000 Hg
0.000 0.000 0.000 W
```

Space group   P4/mmm, No. 123
Total moment   0.0 Bohr magnetons per cell
Formation energy   1.51 eV/atom

---

17.
The following is a PBE calculation of ZrHgB2W after structural relaxation, from the Alexandria database.

Geometry as POSCAR:
```
ZrHgB2W
1.0
-1.033 -1.841 -3.550
4.789 -2.923 0.123
-1.889 -3.007 2.109
Zr B Hg W
1 2 1 1
Direct
0.000 0.500 0.000 Zr
0.000 0.000 0.500 B
0.500 0.000 0.000 B
0.000 0.000 0.000 Hg
0.500 0.500 0.500 W
```

Space group   P4/mmm, No. 123
Total moment   1.8 Bohr magnetons per cell
Formation energy   2.22 eV/atom

---

18.
The following is a PBE calculation of YHgB after structural relaxation, from the Alexandria database.

Geometry as POSCAR:
```
YHgB
1.0
3.229 0.007 -0.001
1.611 3.496 0.001
0.008 0.823 10.496
Y B Hg
2 2 2
Direct
0.509 0.498 0.322 Y
0.542 0.429 0.651 Y
0.812 0.890 0.489 B
0.239 0.037 0.484 B
0.868 0.771 0.878 Hg
0.182 0.156 0.096 Hg
```

Energy relative to the lowest polymorph listed for this composition   0.195 eV per formula unit
Space group   P-1, No. 2
Total moment   0.0 Bohr magnetons per cell
Formation energy   -0.36 eV/atom

---

19.
The following is a PBE calculation of YHgB after structural relaxation, from the Alexandria database.

Geometry as POSCAR:
```
YHgB
1.0
5.268 -0.013 0.004
-1.315 5.107 0.003
2.026 2.501 4.379
Y B Hg
2 2 2
Direct
0.239 0.205 0.493 Y
0.656 0.800 0.480 Y
0.080 0.634 0.486 B
0.815 0.371 0.487 B
0.448 0.003 0.987 Hg
0.948 0.503 0.987 Hg
```

Energy relative to the lowest polymorph listed for this composition   1.051 eV per formula unit
Space group   C2/m, No. 12
Total moment   0.0 Bohr magnetons per cell
Formation energy   -0.07 eV/atom

---

20.
The following is a PBE calculation of YHg2B after structural relaxation, from the Alexandria database.

Geometry as POSCAR:
```
YHg2B
1.0
-1.328 1.953 -4.387
-2.831 -3.995 -0.922
-8.000 2.408 0.665
Y B Hg
2 2 4
Direct
0.000 0.000 0.000 Y
0.750 0.250 0.500 Y
0.500 0.500 0.000 B
0.250 0.750 0.500 B
0.491 0.125 0.250 Hg
0.259 0.625 0.250 Hg
0.375 0.509 0.750 Hg
0.875 0.741 0.750 Hg
```

Space group   I-42d, No. 122
Total moment   0.0 Bohr magnetons per cell
Formation energy   0.52 eV/atom